Density functional theory data (GGA+U) for a relaxed structure of RbYCr2O8.

Properties
Uncorrected energy (eV/atom): -7.07
DOS(E_F) (states/eV per atom): 0.0000
Total magnetization (μB per atom): 0.00

Unit cell a=5.7992 b=5.7992 c=8.0520 alpha=90.00 beta=90.00 gamma=120.00
Space group P-3 (No. 147)
Unique sites:
Rb (0.0000, 0.0000, 0.0000) [1 per cell]
Y (0.0000, 0.0000, 0.5000) [1 per cell]
Cr (0.3333, 0.6667, 0.7430) [2 per cell]
O (0.1725, 0.3508, 0.6749) [6 per cell]
O (0.3333, 0.6667, 0.9443) [2 per cell]